Entry 1:
An optimized crystal structure of SbOs2Ru, computed with PBE.

Results
Fermi-level density of states: 6.08 states/eV/f.u.
formation energy (no corrections): 912 meV/atom
space group: No. 35

```
SbOs2Ru
1.0
2.866 -0.004 0.000
-1.458 2.468 0.000
0.000 0.000 9.460
Os Ru Sb
2 1 1
Direct
0.000 0.000 0.020
0.500 0.500 0.251
0.000 0.000 0.484
0.500 0.500 0.745
```



Entry 2:
An optimized crystal structure of SbOs2Ru, computed with PBE.

Results
Fermi-level density of states: 2.63 states/eV/f.u.
formation energy (no corrections): 413 meV/atom
space group: No. 6

```
SbOs2Ru
1.0
4.050 0.000 0.000
0.000 2.876 -0.031
0.000 1.509 5.456
Os Ru Sb
2 1 1
Direct
0.000 0.797 0.034
0.500 0.198 0.231
0.000 0.554 0.518
0.500 0.952 0.717
```



Entry 3:
An optimized crystal structure of SbOs2Ru, computed with PBE.

Results
Fermi-level density of states: 3.06 states/eV/f.u.
formation energy (no corrections): 446 meV/atom
space group: No. 25

```
SbOs2Ru
1.0
2.901 0.000 0.000
0.000 3.859 0.000
0.000 0.000 5.686
Os Ru Sb
2 1 1
Direct
0.000 0.000 0.035
0.500 0.500 0.223
0.000 0.000 0.508
0.500 0.500 0.734
```



Entry 4:
An optimized crystal structure of SbOs2Ru, computed with PBE.

Results
Fermi-level density of states: 3.10 states/eV/f.u.
formation energy (no corrections): 614 meV/atom
space group: No. 44

```
SbOs2Ru
1.0
5.311 0.005 -0.003
2.474 4.700 0.003
-3.348 -3.254 2.533
Os Ru Sb
2 1 1
Direct
0.017 0.017 0.000
0.756 0.256 0.500
0.477 0.477 0.000
0.250 0.750 0.500
```



Entry 5:
An optimized crystal structure of SbOs2Ru, computed with PBE.

Results
Fermi-level density of states: 4.47 states/eV/f.u.
formation energy (no corrections): 527 meV/atom
space group: No. 160

```
SbOs2Ru
1.0
-8.071 2.720 2.241
-8.779 0.516 0.470
-8.176 -0.003 3.274
Os Ru Sb
2 1 1
Direct
0.997 0.997 0.997
0.250 0.250 0.250
0.501 0.501 0.501
0.751 0.751 0.751
```



Entry 6:
An optimized crystal structure of SbOsRu3, computed with PBE.

Results
Fermi-level density of states: 6.60 states/eV/f.u.
formation energy (no corrections): 1492 meV/atom
space group: No. 221
E above lowest polymorph: 0 meV per atom

```
SbOsRu3
1.0
4.701 0.000 0.000
0.000 4.701 0.000
0.000 0.000 4.701
Sb Os Ru
1 1 3
Direct
0.500 0.500 0.500
0.000 0.000 0.000
0.000 0.500 0.000
0.000 0.000 0.500
0.500 0.000 0.000
```



Entry 7:
An optimized crystal structure of Sb12Os5Ru3, computed with PBE.

Results
Fermi-level density of states: 15.61 states/eV/f.u.
formation energy (no corrections): 479 meV/atom
space group: No. 230

```
Sb12Os5Ru3
1.0
13.504 0.000 0.000
-4.501 12.731 0.000
-4.501 -6.366 11.026
Ru Os Sb
12 20 48
Direct
0.750 0.375 0.125
0.875 0.750 0.125
0.375 0.750 0.625
0.250 0.125 0.375
0.875 0.125 0.250
0.375 0.625 0.250
0.625 0.375 0.750
0.125 0.875 0.750
0.750 0.875 0.625
0.625 0.250 0.375
0.125 0.250 0.875
0.250 0.625 0.875
0.125 0.375 0.250
0.000 0.500 0.000
0.000 0.000 0.000
0.375 0.250 0.125
0.500 0.000 0.500
0.500 0.500 0.000
0.125 0.750 0.375
0.750 0.125 0.875
0.750 0.625 0.375
0.375 0.125 0.750
0.625 0.875 0.250
0.500 0.500 0.500
0.500 0.000 0.000
0.000 0.000 0.500
0.250 0.375 0.625
0.250 0.875 0.125
0.000 0.500 0.500
0.875 0.250 0.625
0.625 0.750 0.875
0.875 0.625 0.750
0.727 0.126 0.054
0.327 0.554 0.428
0.946 0.374 0.273
0.554 0.227 0.126
0.601 0.727 0.673
0.946 0.572 0.173
0.327 0.773 0.399
0.072 0.899 0.126
0.572 0.946 0.673
0.727 0.601 0.173
0.773 0.446 0.374
0.827 0.928 0.054
0.126 0.727 0.554
0.374 0.428 0.101
0.101 0.928 0.374
0.399 0.126 0.572
0.101 0.173 0.227
0.446 0.673 0.072
0.827 0.899 0.273
0.126 0.399 0.072
0.374 0.946 0.773
0.572 0.626 0.399
0.928 0.827 0.554
0.773 0.327 0.899
0.428 0.374 0.601
0.072 0.173 0.446
0.227 0.673 0.101
0.173 0.101 0.727
0.626 0.054 0.227
0.874 0.601 0.928
0.554 0.327 0.928
0.601 0.874 0.428
0.899 0.827 0.773
0.899 0.072 0.626
0.874 0.273 0.446
0.173 0.072 0.946
0.626 0.572 0.899
0.428 0.054 0.327
0.273 0.399 0.827
0.227 0.554 0.626
0.928 0.101 0.874
0.673 0.227 0.601
0.446 0.773 0.874
0.054 0.428 0.827
0.399 0.273 0.327
0.054 0.626 0.727
0.673 0.446 0.572
0.273 0.874 0.946
```



Entry 8:
An optimized crystal structure of Sb3OsRu, computed with PBE.

Results
Fermi-level density of states: 5.25 states/eV/f.u.
formation energy (no corrections): 1248 meV/atom
space group: No. 221

```
Sb3OsRu
1.0
-3.314 -3.641 -1.162
2.139 -3.042 3.428
-3.167 1.754 3.533
Sb Os Ru
3 1 1
Direct
0.000 0.500 0.000
0.000 0.000 0.500
0.500 0.000 0.000
0.000 0.000 0.000
0.500 0.500 0.500
```



Entry 9:
An optimized crystal structure of SbOs2Ru, computed with PBE.

Results
Fermi-level density of states: 4.53 states/eV/f.u.
formation energy (no corrections): 616 meV/atom
space group: No. 47

```
SbOs2Ru
1.0
-1.371 -2.479 0.651
0.916 -1.620 -4.242
4.060 -1.832 1.576
Os Ru Sb
2 1 1
Direct
0.000 0.000 0.000
0.500 0.500 0.000
0.500 0.000 0.500
0.000 0.500 0.500
```



Entry 10:
An optimized crystal structure of SbOs2Ru, computed with PBE.

Results
Fermi-level density of states: 7.48 states/eV/f.u.
formation energy (no corrections): 592 meV/atom
space group: No. 123

```
SbOs2Ru
1.0
4.012 0.000 0.000
0.000 3.954 0.000
0.000 0.000 3.954
Os Ru Sb
2 1 1
Direct
0.000 0.000 0.000
0.000 0.500 0.500
0.500 0.500 0.000
0.500 0.000 0.500
```



Entry 11:
An optimized crystal structure of SbOs2Ru, computed with PBE.

Results
Fermi-level density of states: 3.67 states/eV/f.u.
formation energy (no corrections): 571 meV/atom
space group: No. 65

```
SbOs2Ru
1.0
4.764 0.008 0.000
-1.441 4.541 0.000
0.000 0.000 2.893
Os Ru Sb
2 1 1
Direct
0.000 0.000 0.000
0.500 0.500 0.000
0.500 0.000 0.500
0.000 0.500 0.500
```



Entry 12:
An optimized crystal structure of SbOs2Ru, computed with PBE.

Results
Fermi-level density of states: 3.72 states/eV/f.u.
formation energy (no corrections): 570 meV/atom
space group: No. 47

```
SbOs2Ru
1.0
-1.814 2.225 -0.057
-1.890 -1.463 3.022
3.447 2.902 3.560
Os Ru Sb
2 1 1
Direct
0.000 0.000 0.022
0.000 0.000 0.478
0.500 0.500 0.250
0.500 0.500 0.750
```



Entry 13:
An optimized crystal structure of SbOs2Ru, computed with PBE.

Results
Fermi-level density of states: 3.38 states/eV/f.u.
formation energy (no corrections): 437 meV/atom
space group: No. 99

```
SbOs2Ru
1.0
-0.686 1.038 -2.635
-0.412 -2.718 -0.963
-7.171 0.374 2.014
Os Ru Sb
2 1 1
Direct
0.000 0.000 0.018
0.500 0.500 0.246
0.000 0.000 0.493
0.500 0.500 0.743
```



Entry 14:
An optimized crystal structure of SbOs2Ru, computed with PBE.

Results
Fermi-level density of states: 4.28 states/eV/f.u.
formation energy (no corrections): 668 meV/atom
space group: No. 123

```
SbOs2Ru
1.0
-1.271 4.372 0.737
-2.424 -0.044 -3.924
-2.395 -0.948 1.490
Os Ru Sb
2 1 1
Direct
0.000 0.000 0.000
0.500 0.500 0.000
0.500 0.000 0.500
0.000 0.500 0.500
```



Entry 15:
An optimized crystal structure of SbOs2Ru, computed with PBE.

Results
Fermi-level density of states: 2.98 states/eV/f.u.
formation energy (no corrections): 417 meV/atom
space group: No. 8

```
SbOs2Ru
1.0
4.787 -0.002 -0.008
3.900 2.777 -0.008
0.708 0.226 4.745
Os Ru Sb
2 1 1
Direct
0.011 0.011 0.963
0.751 0.751 0.768
0.492 0.492 0.502
0.247 0.247 0.267
```



Entry 16:
An optimized crystal structure of SbOs2Ru, computed with PBE.

Results
Fermi-level density of states: 2.86 states/eV/f.u.
formation energy (no corrections): 418 meV/atom
space group: No. 119

```
SbOs2Ru
1.0
-2.702 3.354 2.158
-3.898 -2.144 1.847
4.685 -1.043 0.412
Os Ru Sb
2 1 1
Direct
0.000 0.000 0.000
0.250 0.750 0.500
0.500 0.500 0.000
0.750 0.250 0.500
```



Entry 17:
An optimized crystal structure of SbOs2Ru, computed with PBE.

Results
Fermi-level density of states: 3.29 states/eV/f.u.
formation energy (no corrections): 1121 meV/atom
space group: No. 122

```
SbOs2Ru
1.0
5.741 0.000 0.000
0.000 5.741 0.000
2.870 2.870 5.699
Sb Os Ru
2 4 2
Direct
0.000 0.000 0.000
0.750 0.250 0.500
0.591 0.125 0.250
0.159 0.625 0.250
0.375 0.409 0.750
0.875 0.841 0.750
0.500 0.500 0.000
0.250 0.750 0.500
```



Entry 18:
An optimized crystal structure of SbOs2Ru, computed with PBE.

Results
Fermi-level density of states: 3.10 states/eV/f.u.
formation energy (no corrections): 460 meV/atom
space group: No. 139

```
SbOs2Ru
1.0
-4.204 1.630 -1.733
-2.747 -3.778 -1.231
2.386 1.021 4.074
Os Ru Sb
2 1 1
Direct
0.000 0.000 0.000
0.500 0.500 0.000
0.250 0.750 0.500
0.750 0.250 0.500
```



Entry 19:
An optimized crystal structure of SbOs2Ru, computed with PBE.

Results
Fermi-level density of states: 4.94 states/eV/f.u.
formation energy (no corrections): 703 meV/atom
space group: No. 216

```
SbOs2Ru
1.0
4.492 0.000 0.000
2.246 3.890 0.000
2.246 1.297 3.668
Os Ru Sb
2 1 1
Direct
0.000 0.000 0.000
0.250 0.250 0.250
0.500 0.500 0.500
0.750 0.750 0.750
```



Entry 20:
An optimized crystal structure of ScSbOsRu, computed with PBE.

Results
Fermi-level density of states: 0.50 states/eV/f.u.
formation energy (no corrections): -379 meV/atom
space group: No. 216

```
ScSbOsRu
1.0
-3.252 2.475 1.949
-4.209 -0.075 -1.667
-3.316 -2.037 2.314
Sc Sb Os Ru
1 1 1 1
Direct
0.750 0.750 0.750
0.250 0.250 0.250
0.500 0.500 0.500
0.000 0.000 0.000
```



no.,total moment (μB per formula unit)
1,0.00
2,0.00
3,0.00
4,0.00
5,0.00
6,0.00
7,0.00
8,0.53
9,0.85
10,0.00
11,0.00
12,0.00
13,0.00
14,0.00
15,0.00
16,0.00
17,0.00
18,0.00
19,2.19
20,0.00